# 1
A plane-wave DFT calculation with PBEsol was carried out for a geometry-optimized SrCaLa structure.

POSCAR file:
```
SrCaLa
1.0
3.699 0.000 0.000
0.000 6.174 0.000
0.000 -3.087 5.347
Sr La Ca
1 1 1
direct
0.295 0.667 0.333 Sr
0.666 0.333 0.667 La
0.039 0.000 0.000 Ca
```

## Properties
ΔE to the lowest computed polymorph = 0.020 eV/atom
space group = P3m1 (156)
formation enthalpy at 0 K = 139 meV/atom
M_tot = 0.000 μB/cell
E = -0.218 Ry per atom



# 2
A plane-wave DFT calculation with PBEsol was carried out for a geometry-optimized NbTlN3 structure.

POSCAR file:
```
NbTlN3
1.0
4.155 0.000 0.000
0.000 4.155 0.000
0.000 0.000 4.155
Nb Tl N
1 1 3
direct
0.000 0.000 0.000 Nb
0.500 0.500 0.500 Tl
0.500 0.000 0.000 N
0.000 0.000 0.500 N
0.000 0.500 0.000 N
```

## Properties
uncorrected formation energy = 0.508 eV per atom
space group = Pm-3m (221)
M_tot = 2.556 μB/cell
E = -0.536 Ry per atom